(1)
Entry from the Alexandria database: an optimized crystal structure of Ga2Te4Au3 (PBE).

Unit cell a=7.361 b=12.193 c=12.193 alpha=71.81 beta=47.51 gamma=47.51
Positions (direct):
Ga  0.439  0.714  0.620
Ga  0.061  0.380  0.286
Ga  0.561  0.286  0.380
Ga  0.939  0.620  0.714
Te  0.243  0.199  0.617
Te  0.257  0.383  0.801
Te  0.757  0.801  0.383
Te  0.743  0.617  0.199
Te  0.816  0.878  0.755
Te  0.684  0.245  0.122
Te  0.184  0.122  0.245
Te  0.316  0.755  0.878
Au  0.223  0.109  0.453
Au  0.277  0.547  0.891
Au  0.777  0.891  0.547
Au  0.723  0.453  0.109
Au  0.250  0.569  0.431
Au  0.750  0.431  0.569

* SG: C2/c (15)
* formation energy from raw total energies: -0.153 eV/atom


(2)
Entry from the Alexandria database: an optimized crystal structure of SbTeI2Cl (PBE).

Unit cell a=5.454 b=5.454 c=5.888 alpha=90.00 beta=90.00 gamma=90.00
Positions (direct):
I  0.000  0.500  0.000
I  0.500  0.000  0.000
Sb  0.500  0.500  0.500
Te  0.000  0.000  0.500
Cl  0.000  0.000  0.000

* SG: P4/mmm (123)
* formation energy from raw total energies: 0.665 eV/atom
* excess energy over the best structure of this formula in the dataset: 421 meV per atom


(3)
Entry from the Alexandria database: an optimized crystal structure of RbHg6 (PBE).

Unit cell a=7.236 b=7.236 c=7.236 alpha=109.47 beta=109.47 gamma=109.47
Positions (direct):
Rb  0.000  0.000  0.000
Hg  0.250  0.750  0.500
Hg  0.500  0.750  0.250
Hg  0.250  0.500  0.750
Hg  0.750  0.250  0.500
Hg  0.500  0.250  0.750
Hg  0.750  0.500  0.250

* energy relative to the elements: -46 meV per atom
* SG: Im-3m (229)
* excess energy over the best structure of this formula in the dataset: 83 meV per atom


(4)
Entry from the Alexandria database: an optimized crystal structure of Na3TcRh3Se8 (PBE).

Unit cell a=7.554 b=7.550 c=8.066 alpha=117.89 beta=90.00 gamma=120.02
Last column: magnetic moment on the atom in μB.
Positions (direct):
Na  0.000  0.000  0.000  0.00
Na  0.000  0.500  0.000  0.00
Na  0.500  0.500  0.000  0.00
Tc  0.000  0.000  0.500  2.17
Rh  0.500  0.000  0.500  0.04
Rh  0.500  0.500  0.500  0.04
Rh  0.000  0.500  0.500  0.04
Se  0.271  0.542  0.313  0.01
Se  0.729  0.458  0.687  0.01
Se  0.765  0.531  0.305  0.02
Se  0.235  0.469  0.695  0.02
Se  0.765  0.039  0.304  0.02
Se  0.235  0.961  0.696  0.02
Se  0.274  0.039  0.304  0.02
Se  0.726  0.961  0.696  0.02

* SG: R-3m (166)
* formation energy from raw total energies: -0.559 eV/atom


Number 1: raw total energy -3.314 eV per atom, density 7.18 Mg/m³, spin magnetization 0.00 μB/f.u.. Number 2: raw total energy -1.777 eV per atom, density 5.11 Mg/m³, spin magnetization 0.00 μB/f.u.. Number 3: raw total energy -0.443 eV per atom, density 7.34 Mg/m³, spin magnetization 0.00 μB/f.u.. Number 4: raw total energy -4.842 eV per atom, density 5.48 Mg/m³, spin magnetization 2.83 μB/f.u..